No. 1
The following is a DFT calculation (PBE-GGA) of a relaxed structure of Li3MoH8.

abc: 4.513 4.513 4.513
angles: 90.00 90.00 90.00
Space group Pm-3m (No. 221)
One atom of each set of equivalent atoms:
Li1 0.000 0.000 0.500 (multiplicity 3)
Mo1 0.500 0.500 0.500 (multiplicity 1)
H1 0.267 0.267 0.267 (multiplicity 8)

Values from the calculation:
- spin magnetization (μB/f.u.) = 1.94
- volume (A^3/atom) = 7.661
- D(E_F) (states/eV per cell) = 1.091
- total energy (eV per atom) = -3.680



No. 2
The following is a DFT calculation (PBE-GGA) of a relaxed structure of Ce3Si4Ir.

abc: 4.441 5.925 13.646
angles: 90.00 90.00 90.00
Space group Immm (No. 71)
One atom of each set of equivalent atoms:
Ce1 0.000 0.000 0.000 (multiplicity 2)
Ce2 0.000 0.500 0.181 (multiplicity 4)
Si1 0.000 0.297 0.380 (multiplicity 8)
Ir1 0.000 0.000 0.500 (multiplicity 2)

Values from the calculation:
- spin magnetization (μB/f.u.) = 1.05
- volume (A^3/atom) = 22.441
- D(E_F) (states/eV per cell) = 19.576
- ΔE_f (raw) (kJ per mole of atoms) = -59.6
- total energy (eV per atom) = -6.662



No. 3
The following is a DFT calculation (PBE-GGA) of a relaxed structure of MnCd2Ru.

abc: 2.926 4.122 5.731
angles: 90.00 90.19 90.00
Space group P2/m (No. 10)
One atom of each set of equivalent atoms:
Mn1 0.000 0.000 0.000 (multiplicity 1)
Cd1 0.500 0.500 0.253 (multiplicity 2)
Ru1 0.000 0.000 0.500 (multiplicity 1)

Values from the calculation:
- spin magnetization (μB/f.u.) = 4.92
- volume (A^3/atom) = 17.280
- E_form (meV per atom) = 315
- D(E_F) (states/eV per cell) = 2.091
- excess energy over the best structure of this formula in the dataset (meV per atom) = 156
- total energy (eV per atom) = -4.754



Question: What is the formula in the third record?
Answer: MnCd2Ru



Question: Which of these has the lowest total energy?
Answer: Ce3Si4Ir



Question: Look up the total energy of the first one.
Answer: -3.680 eV per atom